(1)
Compound: Zn2ReIr
Source: Alexandria via LeMat-Bulk
Functional: meta-GGA SCAN
Structure: PBEsol geometry

Cell: 2.7605 4.4350 4.5988 Å, 90.00 90.00 90.00°
Sites, in units of the cell vectors:
Ir (0.5000, 0.5000, 0.0000)
Re (0.0000, 0.5000, 0.5000)
Zn (0.0000, 0.0000, 0.0000)
Zn (0.5000, 0.0000, 0.5000)

Computed properties:
D(E_F) ... 0.5779 states/eV/atom
Raw total energy ... -1.5512 Ha/atom
ρ ... 15.02 Mg/m³

---

(2)
Compound: ZnReIr2
Source: Alexandria via LeMat-Bulk
Functional: meta-GGA SCAN
Structure: PBEsol geometry

Cell: 3.7594 3.7594 4.7669 Å, 113.22 113.22 90.00°
Sites, in units of the cell vectors:
Ir (0.0000, 0.0000, 0.0000)
Ir (0.7500, 0.2500, 0.5000)
Re (0.5000, 0.5000, 0.0000)
Zn (0.2500, 0.7500, 0.5000)

Computed properties:
Distance to the lowest polymorph of the same formula ... 301 meV per atom
D(E_F) ... 0.7516 states/eV/atom
Raw total energy ... -2.0829 Ha/atom
ρ ... 18.89 Mg/m³

---

(3)
Compound: ZnReIr2
Source: Alexandria via LeMat-Bulk
Functional: meta-GGA SCAN
Structure: PBEsol geometry

Cell: 2.7653 2.7653 7.3094 Å, 90.00 90.00 90.00°
Sites, in units of the cell vectors:
Re (0.5000, 0.5000, 0.0000)
Zn (0.5000, 0.5000, 0.5000)
Ir (0.0000, 0.0000, 0.7521)
Ir (0.0000, 0.0000, 0.2479)

Computed properties:
Distance to the lowest polymorph of the same formula ... 0 meV per atom
D(E_F) ... 0.4646 states/eV/atom
Raw total energy ... -2.0940 Ha/atom
ρ ... 18.90 Mg/m³

---

(4)
Compound: Zn3ReIr
Source: Alexandria via LeMat-Bulk
Functional: meta-GGA SCAN
Structure: PBEsol geometry

Cell: 4.5987 4.5987 4.5987 Å, 90.00 90.00 90.00°
Sites, in units of the cell vectors:
Re (0.0000, 0.0000, 0.0000)
Zn (0.0000, 0.5000, 0.0000)
Zn (0.0000, 0.0000, 0.5000)
Zn (0.5000, 0.0000, 0.0000)
Ir (0.5000, 0.5000, 0.5000)

Computed properties:
D(E_F) ... 0.7246 states/eV/atom
Raw total energy ... -1.2768 Ha/atom
ρ ... 9.81 Mg/m³